No. 1
Here is an optimized crystal structure of PaCu3Pd4O12 from Alexandria via LeMat-Bulk. Energies are from PBE.

Calculated values
Raw formation energy, eV per atom: -0.890
Total moment, μB/f.u.: 1.3
E_tot, eV per atom: -5.992
Space group: Im-3, No. 204
Calculated volume, Å³ per atom: 11.175

a = 6.6216 Å, b = 6.6216 Å, c = 6.6216 Å
α = 109.47°, β = 109.47°, γ = 109.47°
With the nearest neighbours (Å) after each atom.
Positions (direct):
Pa: 0.0000 0.0000 0.0000  12 O 2.55
Cu: 0.0000 0.5000 0.5000  4 O 1.98
Cu: 0.5000 0.5000 0.0000  4 O 1.98
Cu: 0.5000 0.0000 0.5000  4 O 1.98
Pd: 0.5000 0.0000 0.0000  6 O 2.07
Pd: 0.5000 0.5000 0.5000  6 O 2.07
Pd: 0.0000 0.5000 0.0000  6 O 2.07
Pd: 0.0000 0.0000 0.5000  6 O 2.07
O: 0.2938 0.8428 0.1366  1 Cu 1.98, 2 Pd 2.07
O: 0.7062 0.1572 0.8634  1 Cu 1.98, 2 Pd 2.07
O: 0.7062 0.8428 0.5491  1 Cu 1.98, 2 Pd 2.07
O: 0.8634 0.7062 0.1572  1 Cu 1.98, 2 Pd 2.07
O: 0.8428 0.1366 0.2938  1 Cu 1.98, 2 Pd 2.07
O: 0.1572 0.4509 0.2938  1 Cu 1.98, 2 Pd 2.07
O: 0.4509 0.2938 0.1572  1 Cu 1.98, 2 Pd 2.07
O: 0.1572 0.8634 0.7062  1 Cu 1.98, 2 Pd 2.07
O: 0.2938 0.1572 0.4509  1 Cu 1.98, 2 Pd 2.07
O: 0.1366 0.2938 0.8428  1 Cu 1.98, 2 Pd 2.07
O: 0.8428 0.5491 0.7062  1 Cu 1.98, 2 Pd 2.07
O: 0.5491 0.7062 0.8428  1 Cu 1.98, 2 Pd 2.07

***

No. 2
Here is an optimized crystal structure of KNbO2 from Alexandria via LeMat-Bulk. Energies are from PBE.

Calculated values
Raw formation energy, eV per atom: -1.679
Total moment, μB/f.u.: 0.6
E_tot, eV per atom: -6.950
Space group: I-42d, No. 122
Calculated volume, Å³ per atom: 19.579

a = 5.3106 Å, b = 5.3106 Å, c = 6.7041 Å
α = 66.67°, β = 66.67°, γ = 90.00°
With the nearest neighbours (Å) after each atom.
Positions (direct):
Nb: 0.0000 0.0000 0.0000  4 O 1.99
Nb: 0.7500 0.2500 0.5000  4 O 1.99
K: 0.5000 0.5000 0.0000  4 O 2.87
K: 0.2500 0.7500 0.5000  4 O 2.87
O: 0.7763 0.1250 0.2500  2 Nb 1.99
O: 0.9737 0.6250 0.2500  2 Nb 1.99
O: 0.3750 0.2237 0.7500  2 Nb 1.99
O: 0.8750 0.0263 0.7500  2 Nb 1.99

***

No. 3
Here is an optimized crystal structure of Tb4Y19Th6 from Alexandria via LeMat-Bulk. Energies are from PBE.

Calculated values
DFT formation energy, eV per atom: 0.43
Total moment, μB/f.u.: 0.0
E_tot, eV per atom: -5.982
Space group: I23, No. 197
Calculated volume, Å³ per atom: 33.760

a = 10.8345 Å, b = 10.8343 Å, c = 10.8345 Å
α = 109.47°, β = 109.47°, γ = 109.47°
With the nearest neighbours (Å) after each atom.
Positions (direct):
Tb: 0.0000 0.0000 0.6436  9 Y 3.33-3.45
Tb: 0.0000 0.6436 0.0000  9 Y 3.33-3.45
Tb: 0.3564 0.3564 0.3564  9 Y 3.33-3.45
Tb: 0.6436 0.0000 0.0000  9 Y 3.33-3.45
Y: 0.7362 0.0000 0.7362  5 Y 3.30-3.58, 2 Tb 3.33, 2 Th 3.36
Y: 0.2638 0.0000 0.2638  5 Y 3.30-3.58, 2 Tb 3.33, 2 Th 3.36
Y: 0.2638 0.2638 0.0000  5 Y 3.30-3.58, 2 Tb 3.33, 2 Th 3.36
Y: 0.7362 0.7362 0.0000  5 Y 3.30-3.58, 2 Tb 3.33, 2 Th 3.36
Y: 0.0000 0.7362 0.7362  5 Y 3.30-3.58, 2 Tb 3.33, 2 Th 3.36
Y: 0.0000 0.2638 0.2638  5 Y 3.30-3.58, 2 Tb 3.33, 2 Th 3.36
Y: 0.0000 0.0000 0.0000  6 Y 3.30
Y: 0.1947 0.2133 0.5384  1 Th 3.21, 2 Tb 3.35-3.45, 2 Y 3.36-3.58
Y: 0.8053 0.3437 0.0186  1 Th 3.21, 2 Tb 3.35-3.45, 2 Y 3.36-3.58
Y: 0.6749 0.6563 0.4616  1 Th 3.21, 2 Tb 3.35-3.45, 2 Y 3.36-3.58
Y: 0.0186 0.8053 0.3437  1 Th 3.21, 2 Tb 3.35-3.45, 2 Y 3.36-3.58
Y: 0.3251 0.7867 0.9814  1 Th 3.21, 2 Tb 3.35-3.45, 2 Y 3.36-3.58
Y: 0.5384 0.1947 0.2133  1 Th 3.21, 2 Tb 3.35-3.45, 2 Y 3.36-3.58
Y: 0.9814 0.3251 0.7867  1 Th 3.21, 2 Tb 3.35-3.45, 2 Y 3.36-3.58
Y: 0.4616 0.6749 0.6563  1 Th 3.21, 2 Tb 3.35-3.45, 2 Y 3.36-3.58
Y: 0.7867 0.9814 0.3251  1 Th 3.21, 2 Tb 3.35-3.45, 2 Y 3.36-3.58
Y: 0.3437 0.0186 0.8053  1 Th 3.21, 2 Tb 3.35-3.45, 2 Y 3.36-3.58
Y: 0.2133 0.5384 0.1947  1 Th 3.21, 2 Tb 3.35-3.45, 2 Y 3.36-3.58
Y: 0.6563 0.4616 0.6749  1 Th 3.21, 2 Tb 3.35-3.45, 2 Y 3.36-3.58
Th: 0.3721 0.5000 0.8721  1 Th 3.20, 4 Y 3.21-3.36
Th: 0.6279 0.5000 0.1279  1 Th 3.20, 4 Y 3.21-3.36
Th: 0.1279 0.6279 0.5000  1 Th 3.20, 4 Y 3.21-3.36
Th: 0.8721 0.3721 0.5000  1 Th 3.20, 4 Y 3.21-3.36
Th: 0.5000 0.8721 0.3721  1 Th 3.20, 4 Y 3.21-3.36
Th: 0.5000 0.1279 0.6279  1 Th 3.20, 4 Y 3.21-3.36

***

No. 4
Here is an optimized crystal structure of BeFeCo2H from Alexandria via LeMat-Bulk. Energies are from PBE.

Calculated values
Total moment, μB/f.u.: 4.9
E_tot, eV per atom: -5.987
Space group: P4/mmm, No. 123
Calculated volume, Å³ per atom: 8.786

a = 3.5326 Å, b = 3.5326 Å, c = 3.5201 Å
α = 90.00°, β = 90.00°, γ = 90.00°
With the nearest neighbours (Å) after each atom.
Positions (direct):
Be: 0.5000 0.5000 0.5000  8 Co 2.49, 4 Fe 2.50
Co: 0.0000 0.5000 0.0000  2 H 1.77
Co: 0.5000 0.0000 0.0000  2 H 1.77
Fe: 0.0000 0.0000 0.5000  2 H 1.76
H: 0.0000 0.0000 0.0000  2 Fe 1.76, 4 Co 1.77

***

Question: Which value of calculated volume does entry 2 give?
Answer: 19.579 Å³ per atom

***

Question: calculated volume of number 1 (PaCu3Pd4O12)?
Answer: 11.175 Å³ per atom

***

Question: The highest E_tot belongs to which entry?
Answer: Tb4Y19Th6